Entry from Alexandria: a relaxed structure of Rb4Tb3ZrSe8 (PBE-GGA).

The space group is R-3m (No. 166, hexagonal axes) and the conventional cell measures 8.3701, 8.3701 and 24.0391 Å, with angles of 90.00, 90.00 and 120.00 degrees. Symmetry generates all atoms from Rb at (0.0000, 0.0000, 0.0000), Rb at (0.0000, 0.5000, 0.0000), Tb at (0.0000, 0.5000, 0.5000), Zr at (0.0000, 0.0000, 0.5000), Se at (0.0000, 0.0000, 0.2329) and Se at (0.0120, 0.5060, 0.2315).

***

Entry from Alexandria: a relaxed structure of Rb2TcSe4 (PBE-GGA).

The space group is I4/mmm (No. 139) and the conventional cell measures 4.946, 4.946 and 17.720 Å, with angles of 90.00, 90.00 and 90.00 degrees. Symmetry generates all atoms from Rb at (0.000, 0.000, 0.154), Tc at (0.000, 0.000, 0.500), Se at (0.000, 0.000, 0.354) and Se at (0.000, 0.500, 0.000).

***

Entry from Alexandria: a relaxed structure of RbTc4Se7 (PBE-GGA).

The space group is Pmmn (No. 59, origin choice 2) and the conventional cell measures 4.748, 15.256 and 8.064 Å, with angles of 90.00, 90.00 and 90.00 degrees. Symmetry generates all atoms from Rb at (0.250, 0.250, 0.222), Tc at (0.250, 0.000, 0.778), Tc at (0.250, 0.615, 0.255), Se at (0.250, 0.025, 0.109), Se at (0.250, 0.135, 0.638), Se at (0.250, 0.607, 0.571) and Se at (0.250, 0.750, 0.102).

***

no.,formation energy from raw total energies (kJ/mol of atoms),calculated volume (Å³ per cell)
1,-155.5,1458.56
2,-37.2,433.44
3,-18.5,584.14